Record 1
TbPrThTl | GGA-PBE | optimized geometry

```
data_TbPrThTl
_chemical_formula_sum 'Tb4 Pr4 Th4 Tl4'
_symmetry_space_group_name_H-M 'F -4 3 m'
_symmetry_Int_Tables_number 216
_symmetry_space_group_name_Hall 'F -4 2 3'
_cell_length_a 7.860
_cell_length_b 7.860
_cell_length_c 7.860
_cell_angle_alpha 90.00
_cell_angle_beta 90.00
_cell_angle_gamma 90.00
loop_
_atom_site_label
_atom_site_fract_x
_atom_site_fract_y
_atom_site_fract_z
Tb1 0.000 0.000 0.000
Pr1 0.000 0.000 0.500
Th1 0.250 0.250 0.250
Tl1 0.250 0.250 0.750
```

Output
As for the crystal system: cubic. The calculation puts the formation enthalpy at 0 K at 45.9 meV per atom.



Record 2
NbNiSe2 | GGA-PBE | optimized geometry

```
data_NbNiSe2
_chemical_formula_sum 'Nb4 Ni4 Se8'
_symmetry_space_group_name_H-M 'I -4 2 d'
_symmetry_Int_Tables_number 122
_symmetry_space_group_name_Hall 'I -4 2bw'
_cell_length_a 5.702
_cell_length_b 5.702
_cell_length_c 10.808
_cell_angle_alpha 90.00
_cell_angle_beta 90.00
_cell_angle_gamma 90.00
loop_
_atom_site_label
_atom_site_fract_x
_atom_site_fract_y
_atom_site_fract_z
Nb1 0.000 0.000 0.000
Ni1 0.000 0.000 0.500
Se1 0.223 0.250 0.625
```

Output
The calculation puts the raw formation energy at -0.880 eV per formula unit. As for the crystal system: tetragonal. Its distance to the lowest polymorph of the same formula is 1.73 eV per formula unit.



Record 3
Nd3Pd7Pb2 | GGA-PBE | optimized geometry

```
data_Nd3Pd7Pb2
_chemical_formula_sum 'Nd6 Pd14 Pb4'
_symmetry_space_group_name_H-M 'I 4/m m m'
_symmetry_Int_Tables_number 139
_symmetry_space_group_name_Hall '-I 4 2'
_cell_length_a 4.116
_cell_length_b 4.116
_cell_length_c 31.041
_cell_angle_alpha 90.00
_cell_angle_beta 90.00
_cell_angle_gamma 90.00
loop_
_atom_site_label
_atom_site_fract_x
_atom_site_fract_y
_atom_site_fract_z
Nd1 0.000 0.000 0.000
Nd2 0.000 0.000 0.184
Pd1 0.000 0.000 0.277
Pd2 0.000 0.000 0.500
Pd3 0.000 0.500 0.070
Pb1 0.000 0.000 0.372
```

Output
As for the crystal system: tetragonal. The calculation puts the formation enthalpy at 0 K at -550.7 meV per atom.



Number 1: M_tot 0.00 μB per formula unit. Number 2: M_tot 0.81 μB per formula unit. Number 3: M_tot 0.00 μB per formula unit.